(1)
Here is a relaxed TaOs2Cl crystal from the Alexandria database. Energies are from GGA-PBE.

a b c (Å): 2.8835 3.6848 7.9929
angles (deg): 90.00 90.00 90.00
Atoms (fractional coordinates):
Cl 0.5000 0.5000 0.6668
Os 0.0000 0.0000 0.1309
Ta 0.0000 0.0000 0.4535
Os 0.5000 0.5000 0.2488

Properties
**SG**: No. 25
**Size of the total moment**: 0.00 Bohr magnetons per cell
**ρ**: 11.670 g/cm3
**Excess energy over the best structure of this formula in the dataset**: 0.1630 eV per atom
**E_form (uncorrected)**: 0.355 eV per atom



(2)
Here is a relaxed TaOsCl crystal from the Alexandria database. Energies are from GGA-PBE.

a b c (Å): 6.7902 6.7902 6.7902
angles (deg): 154.03 154.03 37.06
Atoms (fractional coordinates):
Os 0.2897 0.2897 0.0000
Ta 0.6779 0.6779 0.0000
Cl 0.0324 0.0324 0.0000

Properties
**SG**: No. 107
**Size of the total moment**: 0.00 Bohr magnetons per cell
**ρ**: 11.260 g/cm3
**Excess energy over the best structure of this formula in the dataset**: 0.0012 eV per atom
**E_form (uncorrected)**: 0.085 eV per atom



(3)
Here is a relaxed TaOs2Cl crystal from the Alexandria database. Energies are from GGA-PBE.

a b c (Å): 5.3478 5.3478 5.3478
angles (deg): 148.24 129.23 61.14
Atoms (fractional coordinates):
Ta 0.4748 0.4748 0.0000
Os 0.0083 0.0083 0.0000
Os 0.7644 0.2644 0.5000
Cl 0.2525 0.7525 0.5000

Properties
**SG**: No. 44
**Size of the total moment**: 0.00 Bohr magnetons per cell
**ρ**: 16.042 g/cm3
**Excess energy over the best structure of this formula in the dataset**: 0.4800 eV per atom
**E_form (uncorrected)**: 0.672 eV per atom